Entry 1:
This record from the Alexandria database describes a relaxed structure of TlBiPb6. The functional is PBE. Values from VASP.

Calculated values
- total DFT energy (no corrections) (eV/atom) = -3.542
- energy above the most stable polymorph in this dataset (eV/atom) = 0.000
- E_form (eV/atom) = 0.02

Cell and atoms, written as Quantum ESPRESSO input:
```
&SYSTEM
  ibrav = 0, nat = 8, ntyp = 3
/
ATOMIC_SPECIES
Bi 208.98 Bi.upf
Pb 207.20 Pb.upf
Tl 204.38 Tl.upf
ATOMIC_POSITIONS crystal
Bi 0.000 0.000 0.500
Pb 0.000 0.500 0.259
Pb 0.500 0.500 0.000
Pb 0.500 0.500 0.500
Pb 0.500 0.000 0.259
Tl 0.000 0.000 0.000
Pb 0.000 0.500 0.741
Pb 0.500 0.000 0.741
CELL_PARAMETERS angstrom
6.001 0.000 0.000
0.000 6.001 0.000
0.000 0.000 7.075
```



Entry 2:
This record from the Alexandria database describes a relaxed structure of Y2TlPdRu. The functional is PBE. Values from VASP.

Calculated values
- total DFT energy (no corrections) (eV/atom) = -5.903
- E_form (eV/atom) = 0.05

Cell and atoms, written as Quantum ESPRESSO input:
```
&SYSTEM
  ibrav = 0, nat = 5, ntyp = 4
/
ATOMIC_SPECIES
Y 88.91 Y.upf
Tl 204.38 Tl.upf
Ru 101.07 Ru.upf
Pd 106.42 Pd.upf
ATOMIC_POSITIONS crystal
Y 0.000 0.000 0.500
Tl 0.500 0.500 0.500
Ru 0.000 0.000 0.000
Y 0.500 0.000 0.000
Pd 0.000 0.500 0.000
CELL_PARAMETERS angstrom
-0.431 -5.154 -0.776
3.841 -0.785 3.080
-3.306 -0.332 4.039
```



Entry 3:
This record from the Alexandria database describes a relaxed structure of KCd8Ag2. The functional is PBE. Values from VASP.

Calculated values
- total DFT energy (no corrections) (eV/atom) = -1.155
- E_form (eV/atom) = 0.13

Cell and atoms, written as Quantum ESPRESSO input:
```
&SYSTEM
  ibrav = 0, nat = 11, ntyp = 3
/
ATOMIC_SPECIES
Cd 112.41 Cd.upf
Ag 107.87 Ag.upf
K 39.10 K.upf
ATOMIC_POSITIONS crystal
Cd 0.249 0.751 0.801
Ag 0.000 0.500 0.000
Cd 0.751 0.751 0.801
Cd 0.751 0.249 0.801
Ag 0.500 0.000 0.000
K 0.500 0.500 0.500
Cd 0.249 0.249 0.199
Cd 0.751 0.751 0.199
Cd 0.751 0.249 0.199
Cd 0.249 0.751 0.199
Cd 0.249 0.249 0.801
CELL_PARAMETERS angstrom
5.967 0.000 0.000
0.000 5.967 0.000
0.000 0.000 10.141
```



Entry 4:
This record from the Alexandria database describes a relaxed structure of ZnRe2Cl. The functional is PBE. Values from VASP.

Calculated values
- E_form (uncorrected) (eV per atom) = 1.217
- total DFT energy (no corrections) (eV/atom) = -5.787
- energy above the most stable polymorph in this dataset (eV/atom) = 1.144

Cell and atoms, written as Quantum ESPRESSO input:
```
&SYSTEM
  ibrav = 0, nat = 4, ntyp = 3
/
ATOMIC_SPECIES
Re 186.21 Re.upf
Cl 35.45 Cl.upf
Zn 65.41 Zn.upf
ATOMIC_POSITIONS crystal
Re 0.000 0.000 0.000
Cl 0.000 0.500 0.500
Zn 0.500 0.000 0.500
Re 0.500 0.500 0.000
CELL_PARAMETERS angstrom
-3.928 -0.179 -1.973
1.880 -1.714 -3.589
-0.421 -2.738 1.087
```



Entry 5:
This record from the Alexandria database describes a relaxed structure of MgTe2IrI. The functional is PBE. Values from VASP.

Calculated values
- E_form (uncorrected) (eV per atom) = 0.313
- total DFT energy (no corrections) (eV/atom) = -3.345
- energy above the most stable polymorph in this dataset (eV/atom) = 0.000

Cell and atoms, written as Quantum ESPRESSO input:
```
&SYSTEM
  ibrav = 0, nat = 5, ntyp = 4
/
ATOMIC_SPECIES
Mg 24.30 Mg.upf
I 126.90 I.upf
Ir 192.22 Ir.upf
Te 127.60 Te.upf
ATOMIC_POSITIONS crystal
Mg 0.500 0.500 0.500
I 0.000 0.000 0.500
Ir 0.000 0.000 0.000
Te 0.000 0.500 0.000
Te 0.500 0.000 0.000
CELL_PARAMETERS angstrom
5.278 0.000 0.000
0.000 5.278 0.000
0.000 0.000 5.529
```



Entry 6:
This record from the Alexandria database describes a relaxed structure of TbPu3P4. The functional is PBE. Values from VASP.

Calculated values
- total DFT energy (no corrections) (eV/atom) = -9.886
- energy above the most stable polymorph in this dataset (eV/atom) = 0.035
- E_form (eV/atom) = -1.23

Cell and atoms, written as Quantum ESPRESSO input:
```
&SYSTEM
  ibrav = 0, nat = 8, ntyp = 3
/
ATOMIC_SPECIES
Tb 158.93 Tb.upf
Pu 244.00 Pu.upf
P 30.97 P.upf
ATOMIC_POSITIONS crystal
Tb 0.500 0.000 0.000
Pu 0.000 0.000 0.500
P 0.000 0.746 0.746
Pu 0.500 0.500 0.500
P 0.000 0.254 0.254
P 0.500 0.251 0.749
Pu 0.000 0.500 0.000
P 0.500 0.749 0.251
CELL_PARAMETERS angstrom
4.001 0.000 0.000
0.000 6.913 -0.073
0.000 -2.249 6.537
```



Entry 7:
This record from the Alexandria database describes a relaxed structure of CaTaRh. The functional is PBE. Values from VASP.

Calculated values
- total DFT energy (no corrections) (eV/atom) = -7.372
- energy above the most stable polymorph in this dataset (eV/atom) = 0.000
- E_form (eV/atom) = -0.30

Cell and atoms, written as Quantum ESPRESSO input:
```
&SYSTEM
  ibrav = 0, nat = 6, ntyp = 3
/
ATOMIC_SPECIES
Ta 180.95 Ta.upf
Rh 102.91 Rh.upf
Ca 40.08 Ca.upf
ATOMIC_POSITIONS crystal
Ta 0.500 0.500 0.500
Rh 0.000 0.500 0.323
Ca 0.000 0.500 0.861
Ta 0.000 0.000 0.500
Ca 0.500 0.000 0.139
Rh 0.500 0.000 0.677
CELL_PARAMETERS angstrom
4.495 0.000 0.000
0.000 4.495 0.000
0.000 0.000 7.002
```



Entry 8:
This record from the Alexandria database describes a relaxed structure of ReIr4Rh2. The functional is PBE. Values from VASP.

Calculated values
- total DFT energy (no corrections) (eV/atom) = -8.682
- energy above the most stable polymorph in this dataset (eV/atom) = 0.216
- E_form (eV/atom) = 0.26

Cell and atoms, written as Quantum ESPRESSO input:
```
&SYSTEM
  ibrav = 0, nat = 14, ntyp = 3
/
ATOMIC_SPECIES
Rh 102.91 Rh.upf
Ir 192.22 Ir.upf
Re 186.21 Re.upf
ATOMIC_POSITIONS crystal
Rh 0.871 0.741 0.897
Ir 0.764 0.529 0.387
Ir 0.002 0.004 0.250
Ir 0.500 0.000 0.500
Rh 0.129 0.259 0.397
Ir 0.236 0.471 0.613
Ir 0.500 0.000 0.000
Ir 0.764 0.529 0.113
Ir 0.998 0.996 0.750
Re 0.626 0.251 0.750
Rh 0.129 0.259 0.103
Rh 0.871 0.741 0.603
Ir 0.236 0.471 0.887
Re 0.374 0.749 0.250
CELL_PARAMETERS angstrom
-0.676 1.636 2.076
6.400 -4.427 3.777
6.192 6.382 -3.013
```



Entry 9:
This record from the Alexandria database describes a relaxed structure of Sr4La5. The functional is PBE. Values from VASP.

Calculated values
- total DFT energy (no corrections) (eV/atom) = -3.273
- E_form (eV/atom) = 0.21

Cell and atoms, written as Quantum ESPRESSO input:
```
&SYSTEM
  ibrav = 0, nat = 18, ntyp = 2
/
ATOMIC_SPECIES
La 138.91 La.upf
Sr 87.62 Sr.upf
ATOMIC_POSITIONS crystal
La 0.333 0.667 0.500
Sr 0.000 0.000 0.000
La 0.629 0.000 0.250
La 0.371 0.000 0.750
La 0.000 0.629 0.250
La 0.371 0.371 0.250
Sr 0.693 0.693 0.250
Sr 0.693 0.000 0.750
Sr 0.307 0.307 0.750
Sr 0.000 0.307 0.250
La 0.667 0.333 0.500
Sr 0.307 0.000 0.250
La 0.667 0.333 0.000
La 0.000 0.371 0.750
Sr 0.000 0.693 0.750
La 0.629 0.629 0.750
La 0.333 0.667 0.000
Sr 0.000 0.000 0.500
CELL_PARAMETERS angstrom
10.911 0.000 0.000
-5.455 9.449 0.000
0.000 0.000 7.447
```



Entry 10:
This record from the Alexandria database describes a relaxed structure of CaMgCu3. The functional is PBE. Values from VASP.

Calculated values
- total DFT energy (no corrections) (eV/atom) = -3.148
- energy above the most stable polymorph in this dataset (eV/atom) = 0.033
- E_form (eV/atom) = 0.03

Cell and atoms, written as Quantum ESPRESSO input:
```
&SYSTEM
  ibrav = 0, nat = 10, ntyp = 3
/
ATOMIC_SPECIES
Cu 63.55 Cu.upf
Ca 40.08 Ca.upf
Mg 24.30 Mg.upf
ATOMIC_POSITIONS crystal
Cu 0.590 0.795 0.250
Ca 0.667 0.333 0.250
Cu 0.795 0.590 0.750
Mg 0.000 0.000 0.500
Ca 0.333 0.667 0.750
Cu 0.410 0.205 0.750
Cu 0.205 0.795 0.250
Cu 0.795 0.205 0.750
Cu 0.205 0.410 0.250
Mg 0.000 0.000 0.000
CELL_PARAMETERS angstrom
-0.368 5.610 2.735
-3.883 -4.584 1.734
3.735 -1.675 3.938
```



Entry 11:
This record from the Alexandria database describes a relaxed structure of TlPPt. The functional is PBE. Values from VASP.

Calculated values
- total DFT energy (no corrections) (eV/atom) = -4.737
- energy above the most stable polymorph in this dataset (eV/atom) = 0.029
- E_form (eV/atom) = -0.13

Cell and atoms, written as Quantum ESPRESSO input:
```
&SYSTEM
  ibrav = 0, nat = 12, ntyp = 3
/
ATOMIC_SPECIES
P 30.97 P.upf
Tl 204.38 Tl.upf
Pt 195.08 Pt.upf
ATOMIC_POSITIONS crystal
P 0.124 0.957 0.472
Tl 0.391 0.252 0.054
Pt 0.811 0.011 0.753
P 0.957 0.124 0.972
Tl 0.252 0.391 0.554
Pt 0.347 0.767 0.669
Tl 0.468 0.729 0.065
P 0.674 0.985 0.469
Pt 0.011 0.811 0.253
Pt 0.767 0.347 0.169
Tl 0.729 0.468 0.565
P 0.985 0.674 0.969
CELL_PARAMETERS angstrom
6.626 0.298 -0.465
0.448 6.618 -0.465
2.718 2.657 5.533
```



Entry 12:
This record from the Alexandria database describes a relaxed structure of Sr6SbTe3I2. The functional is PBE. Values from VASP.

Calculated values
- E_form (uncorrected) (eV per atom) = -1.517
- total DFT energy (no corrections) (eV/atom) = -3.745

Cell and atoms, written as Quantum ESPRESSO input:
```
&SYSTEM
  ibrav = 0, nat = 12, ntyp = 4
/
ATOMIC_SPECIES
Sr 87.62 Sr.upf
Te 127.60 Te.upf
I 126.90 I.upf
Sb 121.76 Sb.upf
ATOMIC_POSITIONS crystal
Sr 0.225 0.225 0.736
Te 0.500 0.500 0.500
Sr 0.086 0.400 0.258
Sr 0.775 0.775 0.264
I 0.665 0.335 0.000
Sr 0.914 0.600 0.742
Te 0.175 0.825 0.500
Sb 0.000 0.000 0.000
Te 0.825 0.175 0.500
Sr 0.600 0.914 0.742
I 0.335 0.665 0.000
Sr 0.400 0.086 0.258
CELL_PARAMETERS angstrom
-2.460 -7.750 1.388
3.264 2.031 -7.298
6.821 0.116 4.625
```



What did the ninth record say?
This record from the Alexandria database describes a relaxed structure of Sr4La5. The functional is PBE. Values from VASP.

Calculated values
- total DFT energy (no corrections) (eV/atom) = -3.273
- E_form (eV/atom) = 0.21

Cell and atoms, written as Quantum ESPRESSO input:
```
&SYSTEM
  ibrav = 0, nat = 18, ntyp = 2
/
ATOMIC_SPECIES
La 138.91 La.upf
Sr 87.62 Sr.upf
ATOMIC_POSITIONS crystal
La 0.333 0.667 0.500
Sr 0.000 0.000 0.000
La 0.629 0.000 0.250
La 0.371 0.000 0.750
La 0.000 0.629 0.250
La 0.371 0.371 0.250
Sr 0.693 0.693 0.250
Sr 0.693 0.000 0.750
Sr 0.307 0.307 0.750
Sr 0.000 0.307 0.250
La 0.667 0.333 0.500
Sr 0.307 0.000 0.250
La 0.667 0.333 0.000
La 0.000 0.371 0.750
Sr 0.000 0.693 0.750
La 0.629 0.629 0.750
La 0.333 0.667 0.000
Sr 0.000 0.000 0.500
CELL_PARAMETERS angstrom
10.911 0.000 0.000
-5.455 9.449 0.000
0.000 0.000 7.447
```